Below is an optimized crystal structure of La12Co3H5, with properties calculated at the GGA-PBE level.

Lattice parameters (Å, degrees): 15.6247 15.6247 15.6247 90.00 90.00 90.00
Space group Ia-3d (No. 230)
One atom of each set of equivalent atoms:
La1 0.0321 0.0689 0.6548 (multiplicity 96)
Co1 0.0000 0.2500 0.1250 (multiplicity 24)
H1 0.0000 0.0000 0.0000 (multiplicity 16)
H2 0.0000 0.2500 0.3750 (multiplicity 24)

Computed properties:
As for the energy: -5.0418 eV/atom. For the spin magnetization, the calculation gives 0.00 μB per formula unit.